Record 1
# Ca2Be2Re

An optimized crystal structure of Ca2Be2Re (PBE, Alexandria via LeMat-Bulk).

Structure (POSCAR):
```
Ca2Be2Re
1.0
6.3814 0.0000 0.0000
0.0000 6.3814 0.0000
0.0000 0.0000 4.6236
Ca Be Re
4 4 2
Cartesian
1.1391 2.0516 0.0000 Ca
2.0516 5.2423 0.0000 Ca
4.3299 1.1391 0.0000 Ca
5.2423 4.3299 0.0000 Ca
0.9520 4.1427 2.3118 Be
2.2387 0.9520 2.3118 Be
4.1427 5.4294 2.3118 Be
5.4294 2.2387 2.3118 Be
0.0000 0.0000 2.3118 Re
3.1907 3.1907 2.3118 Re
```

Computed properties:
- relative energy among the computed polymorphs (kJ/mol of formula units) = 0
- uncorrected energy (eV/atom) = -4.221
- V (A^3/atom) = 18.8
- DFT formation energy (eV/atom) = 0.56

***

Record 2
# HfMn3Te

An optimized crystal structure of HfMn3Te (PBE, Alexandria via LeMat-Bulk).

Structure (POSCAR):
```
HfMn3Te
1.0
4.8277 0.0000 0.0000
0.0000 4.8277 0.0000
0.0000 0.0000 4.8277
Hf Mn Te
1 3 1
Cartesian
0.0000 0.0000 0.0000 Hf
0.0000 0.0000 2.4139 Mn
0.0000 2.4139 0.0000 Mn
2.4139 0.0000 0.0000 Mn
2.4139 2.4139 2.4139 Te
```

Computed properties:
- relative energy among the computed polymorphs (kJ/mol of formula units) = 122
- uncorrected energy (eV/atom) = -6.885
- E_form (uncorrected) (eV per atom) = 1.235
- V (A^3/atom) = 22.5

***

Record 3
# CrSb2P

An optimized crystal structure of CrSb2P (PBE, Alexandria via LeMat-Bulk).

Structure (POSCAR):
```
CrSb2P
1.0
3.1381 0.0000 0.0000
0.0000 3.1381 0.0000
0.0000 0.0000 8.0484
Cr Sb P
1 2 1
Cartesian
0.0000 0.0000 0.0000 Cr
0.0000 0.0000 2.8475 Sb
1.5690 1.5690 6.1360 Sb
1.5690 1.5690 0.9153 P
```

Computed properties:
- uncorrected energy (eV/atom) = -5.786
- E_form (uncorrected) (eV per atom) = 0.034
- V (A^3/atom) = 19.8

***

Record 4
# MgIr2Ru

An optimized crystal structure of MgIr2Ru (PBE, Alexandria via LeMat-Bulk).

Structure (POSCAR):
```
MgIr2Ru
1.0
2.7406 -3.8906 0.0000
2.7406 3.8906 0.0000
0.0000 0.0000 2.7478
Mg Ir Ru
1 2 1
Cartesian
0.0000 0.0000 0.0000 Mg
1.3703 1.9453 1.3739 Ir
1.3703 -1.9453 1.3739 Ir
2.7406 0.0000 0.0000 Ru
```

Computed properties:
- uncorrected energy (eV/atom) = -7.272
- V (A^3/atom) = 14.6
- DFT formation energy (eV/atom) = -0.12

***

Record 5
# Tb2Pd2Rh

An optimized crystal structure of Tb2Pd2Rh (PBE, Alexandria via LeMat-Bulk).

Structure (POSCAR):
```
Tb2Pd2Rh
1.0
-3.0545 6.1274 2.9857
3.0545 -6.1274 2.9857
3.0545 6.1274 -2.9857
Tb Pd Rh
4 4 2
Cartesian
1.3964 1.7332 0.0000 Tb
1.3964 -1.7332 2.9857 Tb
1.6581 7.8606 0.0000 Tb
1.6581 4.3942 2.9857 Tb
4.6927 1.5723 0.0000 Pd
1.6382 4.5551 0.0000 Pd
1.4162 1.5723 2.9857 Pd
-1.6382 4.5551 2.9857 Pd
3.0545 0.0000 1.4929 Rh
0.0000 6.1274 1.4929 Rh
```

Computed properties:
- uncorrected energy (eV/atom) = -6.055
- V (A^3/atom) = 22.4
- DFT formation energy (eV/atom) = -0.66

***

Record 6
# KLa2PtCl

An optimized crystal structure of KLa2PtCl (PBE, Alexandria via LeMat-Bulk).

Structure (POSCAR):
```
KLa2PtCl
1.0
5.5335 0.0000 0.0000
0.0000 5.5335 0.0000
0.0000 0.0000 6.8271
K La Pt Cl
1 2 1 1
Cartesian
0.0000 0.0000 0.0000 K
0.0000 2.7667 3.4136 La
2.7667 0.0000 3.4136 La
0.0000 0.0000 3.4136 Pt
2.7667 2.7667 0.0000 Cl
```

Computed properties:
- uncorrected energy (eV/atom) = -4.390
- E_form (uncorrected) (eV per atom) = -0.622
- V (A^3/atom) = 41.8

***

Record 7
# CaAcPm2In4

An optimized crystal structure of CaAcPm2In4 (PBE, Alexandria via LeMat-Bulk).

Structure (POSCAR):
```
CaAcPm2In4
1.0
2.7630 1.5952 9.1487
-2.7630 1.5952 9.1487
0.0000 -3.1905 9.1487
Ca Ac Pm In
1 1 2 4
Cartesian
0.0000 0.0000 0.0000 Ca
0.0000 0.0000 13.7231 Ac
0.0000 0.0000 6.9520 Pm
0.0000 0.0000 20.4942 Pm
0.0000 0.0000 3.3639 In
0.0000 0.0000 10.2374 In
0.0000 0.0000 17.2088 In
0.0000 0.0000 24.0822 In
```

Computed properties:
- uncorrected energy (eV/atom) = -3.764
- V (A^3/atom) = 30.2
- DFT formation energy (eV/atom) = -0.44

***

Record 8
# LaRePd3

An optimized crystal structure of LaRePd3 (PBE, Alexandria via LeMat-Bulk).

Structure (POSCAR):
```
LaRePd3
1.0
4.9615 0.0000 0.0000
0.0000 4.9615 0.0000
0.0000 0.0000 4.9615
La Re Pd
1 1 3
Cartesian
0.0000 0.0000 0.0000 La
2.4808 2.4808 2.4808 Re
0.0000 0.0000 2.4808 Pd
0.0000 2.4808 0.0000 Pd
2.4808 0.0000 0.0000 Pd
```

Computed properties:
- relative energy among the computed polymorphs (kJ/mol of formula units) = 656
- uncorrected energy (eV/atom) = -4.905
- V (A^3/atom) = 24.4
- DFT formation energy (eV/atom) = 1.69

***

Record 9
# Y2PdW2

An optimized crystal structure of Y2PdW2 (PBE, Alexandria via LeMat-Bulk).

Structure (POSCAR):
```
Y2PdW2
1.0
-1.8216 1.8216 8.6388
1.8216 -1.8216 8.6388
1.8216 1.8216 -8.6388
Y Pd W
2 1 2
Cartesian
0.0000 0.0000 1.7405 Y
0.0000 0.0000 15.5371 Y
0.0000 0.0000 8.6388 Pd
1.8216 0.0000 4.3194 W
0.0000 1.8216 4.3194 W
```

Computed properties:
- relative energy among the computed polymorphs (kJ/mol of formula units) = 0
- uncorrected energy (eV/atom) = -8.629
- V (A^3/atom) = 22.9
- DFT formation energy (eV/atom) = 0.18

***

Record 10
# Tb4CdBi2

An optimized crystal structure of Tb4CdBi2 (PBE, Alexandria via LeMat-Bulk).

Structure (POSCAR):
```
Tb4CdBi2
1.0
6.2237 0.0000 0.0000
0.0000 6.7056 0.0000
-2.4925 0.0000 10.1051
Tb Cd Bi
8 2 4
Cartesian
-0.4740 0.0436 2.5911 Tb
-0.4740 3.3091 2.5911 Tb
0.9018 5.0292 5.3967 Tb
2.4715 5.0292 1.5980 Tb
1.2597 1.6764 8.5071 Tb
2.8293 1.6764 4.7084 Tb
4.2051 3.3964 7.5140 Tb
4.2051 6.6619 7.5140 Tb
0.5556 5.0292 8.3762 Cd
3.1756 1.6764 1.7289 Cd
0.7864 1.6764 0.0669 Bi
-0.1635 1.6764 5.4829 Bi
3.8947 5.0292 4.6221 Bi
2.9448 5.0292 10.0382 Bi
```

Computed properties:
- uncorrected energy (eV/atom) = -4.281
- V (A^3/atom) = 30.1
- DFT formation energy (eV/atom) = -0.40

***

Record 11
# Sc7Zn2Cd2

An optimized crystal structure of Sc7Zn2Cd2 (PBE, Alexandria via LeMat-Bulk).

Structure (POSCAR):
```
Sc7Zn2Cd2
1.0
3.4724 -5.2183 0.0000
3.4724 5.2183 0.0000
0.0000 0.0000 7.2797
Sc Zn Cd
7 2 2
Cartesian
0.0000 0.0000 0.0000 Sc
1.7362 2.6092 2.0550 Sc
1.7362 2.6092 5.2246 Sc
1.7362 -2.6092 2.0550 Sc
1.7362 -2.6092 5.2246 Sc
3.4724 0.0000 1.6520 Sc
3.4724 0.0000 5.6276 Sc
3.4724 2.2557 0.0000 Zn
3.4724 -2.2557 0.0000 Zn
1.3410 0.0000 3.6398 Cd
5.6037 0.0000 3.6398 Cd
```

Computed properties:
- uncorrected energy (eV/atom) = -4.378
- V (A^3/atom) = 24.0
- DFT formation energy (eV/atom) = 0.05

***

Record 12
# Pr4YIn

An optimized crystal structure of Pr4YIn (PBE, Alexandria via LeMat-Bulk).

Structure (POSCAR):
```
Pr4YIn
1.0
3.6916 0.0000 0.0000
0.0000 3.6916 0.0000
0.0000 0.0000 14.7840
Pr Y In
4 1 1
Cartesian
0.0000 0.0000 2.1603 Pr
0.0000 0.0000 12.6237 Pr
1.8458 1.8458 4.8265 Pr
1.8458 1.8458 9.9575 Pr
0.0000 0.0000 7.3920 Y
1.8458 1.8458 0.0000 In
```

Computed properties:
- relative energy among the computed polymorphs (kJ/mol of formula units) = 0
- uncorrected energy (eV/atom) = -4.859
- V (A^3/atom) = 33.6
- DFT formation energy (eV/atom) = -0.14